1.
GGA-PBE Pm5Se4N, relaxed; formation energy without anion corrections = -1696 meV/atom; energy above the lowest structure with this stoichiometry = 10 meV per atom
1.0
-2.0447 2.0447 14.6791
2.0447 -2.0447 14.6791
2.0447 2.0447 -14.6791
Pm Se N
5 4 1
direct
0.0000 0.0000 0.0000
0.2050 0.2050 0.0000
0.4196 0.4196 0.0000
0.5804 0.5804 0.0000
0.7950 0.7950 0.0000
0.1001 0.1001 0.0000
0.3072 0.3072 0.0000
0.6928 0.6928 0.0000
0.8999 0.8999 0.0000
0.5000 0.5000 0.0000

=====

2.
GGA-PBE SbOsW2, relaxed; formation energy without anion corrections = 945 meV/atom
1.0
3.8637 0.0000 0.0000
0.0000 3.8637 0.0000
0.0000 0.0000 19.4339
Sb Os W
4 4 8
direct
0.0000 0.0000 0.0000
0.0000 0.5000 0.2500
0.5000 0.0000 0.7500
0.5000 0.5000 0.5000
0.0000 0.0000 0.5000
0.0000 0.5000 0.7500
0.5000 0.0000 0.2500
0.5000 0.5000 0.0000
0.2474 0.2500 0.6250
0.2500 0.7474 0.8750
0.2500 0.7526 0.3750
0.2526 0.2500 0.1250
0.7474 0.7500 0.1250
0.7500 0.2474 0.3750
0.7500 0.2526 0.8750
0.7526 0.7500 0.6250

=====

3.
GGA-PBE HoNiPtAu, relaxed; formation energy = -2.2 eV/f.u.
1.0
6.5572 0.0000 0.0000
0.0000 6.5572 0.0000
0.0000 0.0000 6.5572
Ho Ni Pt Au
4 4 4 4
direct
0.0000 0.0000 0.0000
0.0000 0.5000 0.5000
0.5000 0.0000 0.5000
0.5000 0.5000 0.0000
0.2500 0.2500 0.7500
0.2500 0.7500 0.2500
0.7500 0.2500 0.2500
0.7500 0.7500 0.7500
0.2500 0.2500 0.2500
0.2500 0.7500 0.7500
0.7500 0.2500 0.7500
0.7500 0.7500 0.2500
0.0000 0.0000 0.5000
0.0000 0.5000 0.0000
0.5000 0.0000 0.0000
0.5000 0.5000 0.5000

=====

4.
GGA-PBE BaPu4Pt4, relaxed; formation energy = -5.8 eV/f.u.
1.0
7.1012 0.0000 0.0000
0.0000 7.1012 0.0000
0.0000 0.0000 9.5178
Ba Pu Pt
2 8 8
direct
0.2500 0.7500 0.2500
0.7500 0.2500 0.7500
0.0110 0.2500 0.1089
0.2500 0.0110 0.6089
0.2500 0.4890 0.6089
0.4890 0.2500 0.1089
0.5110 0.7500 0.8911
0.7500 0.5110 0.3911
0.7500 0.9890 0.3911
0.9890 0.7500 0.8911
0.0534 0.2500 0.4065
0.2500 0.0534 0.9065
0.2500 0.4466 0.9065
0.4466 0.2500 0.4065
0.5534 0.7500 0.5935
0.7500 0.5534 0.0935
0.7500 0.9466 0.0935
0.9466 0.7500 0.5935

=====

5.
GGA-PBE Nd3YHoEr, relaxed; formation energy = 0.1 eV/f.u.
1.0
2.5507 -7.6596 0.0000
2.5507 7.6596 0.0000
0.0000 0.0000 10.2123
Nd Y Ho Er
6 2 2 2
direct
0.1648 0.8352 0.0000
0.1648 0.8352 0.5000
0.3349 0.6651 0.7500
0.6651 0.3349 0.2500
0.8352 0.1648 0.0000
0.8352 0.1648 0.5000
0.3350 0.6650 0.2500
0.6650 0.3350 0.7500
0.5000 0.5000 0.0000
0.5000 0.5000 0.5000
0.0008 0.9992 0.7500
0.9992 0.0008 0.2500

=====

6.
GGA-PBE RbUB2O8, relaxed; formation energy without anion corrections = -2025 meV/atom
1.0
4.6063 -2.6438 0.0000
4.6063 2.6438 0.0000
-0.7015 0.0000 8.1840
Rb U B O
1 1 2 8
direct
0.0000 0.0000 0.0000
0.0000 0.0000 0.5000
0.3578 0.3578 0.7013
0.6422 0.6422 0.2987
0.2099 0.2099 0.6225
0.2132 0.6672 0.6609
0.3316 0.3316 0.8712
0.3328 0.7868 0.3391
0.6672 0.2132 0.6609
0.6684 0.6684 0.1288
0.7868 0.3328 0.3391
0.7901 0.7901 0.3775

=====

We obtain calculated volume values of 24.55 18.13 17.62 26.66 33.25 16.61 Å³/atom for the records listed above, in that order.